Entry 1:
A geometry-optimized NiIr2Os structure, computed with PBE.

Cell: 5.244 5.244 5.244 Å, 149.45 130.54 59.26°
Fractional coordinates of all 4 atoms:
Ni (0.000, 0.000, 0.000)
Ir (0.493, 0.493, 0.000)
Ir (0.773, 0.273, 0.500)
Os (0.221, 0.721, 0.500)

Computed properties:
Symmetry: Imm2
Formation enthalpy at 0 K (kcal/mol of atoms): 6.33
Total magnetic moment (μB per atom): 0.000
D(E_F) (states/eV/atom): 1.07
ΔE to the lowest computed polymorph (kJ/mol of formula units): 104
Raw total energy (eV/atom): -8.41

***

Entry 2:
A geometry-optimized LaMg4Ag5 structure, computed with PBE.

Cell: 3.420 3.420 17.288 Å, 90.00 90.00 90.00°
Fractional coordinates of all 10 atoms:
La (0.000, 0.000, 0.000)
Mg (0.000, 0.000, 0.220)
Mg (0.000, 0.000, 0.407)
Mg (0.000, 0.000, 0.593)
Mg (0.000, 0.000, 0.780)
Ag (0.500, 0.500, 0.132)
Ag (0.500, 0.500, 0.315)
Ag (0.500, 0.500, 0.500)
Ag (0.500, 0.500, 0.685)
Ag (0.500, 0.500, 0.868)

Computed properties:
Symmetry: P4/mmm
Formation enthalpy at 0 K (kcal/mol of atoms): -5.37
Total magnetic moment (μB per atom): 0.000
D(E_F) (states/eV/atom): 0.37
Raw total energy (eV/atom): -2.79